[1]
VASP calculation (PBEsol) on BeZn2Au after structural relaxation.

Unit cell a=4.2162 b=4.2162 c=4.2162 alpha=60.00 beta=60.00 gamma=60.00
Fractional coordinates of all 4 atoms:
Au  0.5000  0.5000  0.5000
Zn  0.7500  0.7500  0.7500
Zn  0.0000  0.0000  0.0000
Be  0.2500  0.2500  0.2500

Summary:
E_tot (eV/atom): -2.800
Total magnetic moment (μB/cell): 0.0
ΔH_f (0 K) (eV/atom): -0.028
Symmetry: F-43m

***

[2]
VASP calculation (PBEsol) on BeZnAu2 after structural relaxation.

Unit cell a=4.3558 b=4.3558 c=4.3558 alpha=60.00 beta=60.00 gamma=60.00
Fractional coordinates of all 4 atoms:
Be  0.5000  0.5000  0.5000
Au  0.0000  0.0000  0.0000
Au  0.7500  0.7500  0.7500
Zn  0.2500  0.2500  0.2500

Summary:
E_tot (eV/atom): -3.312
Total magnetic moment (μB/cell): 0.0
ΔE to the lowest computed polymorph (meV/atom): 190
ΔH_f (0 K) (eV/atom): 0.045
Symmetry: F-43m

***

[3]
VASP calculation (PBEsol) on Be2ZnAu2 after structural relaxation.

Unit cell a=3.2682 b=3.2682 c=6.6743 alpha=104.17 beta=104.17 gamma=90.00
Fractional coordinates of all 5 atoms:
Au  0.6144  0.6144  0.2288
Au  0.3856  0.3856  0.7712
Be  0.2500  0.7500  0.5000
Be  0.7500  0.2500  0.5000
Zn  0.0000  0.0000  0.0000

Summary:
E_tot (eV/atom): -3.649
Total magnetic moment (μB/cell): 0.0
ΔE to the lowest computed polymorph (meV/atom): 0
ΔH_f (0 K) (eV/atom): -0.163
Symmetry: I4/mmm

***

[4]
VASP calculation (PBEsol) on BeZn2Au after structural relaxation.

Unit cell a=3.7950 b=3.7995 c=4.5369 alpha=114.76 beta=114.72 gamma=90.00
Fractional coordinates of all 4 atoms:
Au  0.4997  0.4998  0.9995
Zn  0.2499  0.7499  0.4998
Zn  0.0002  0.0003  0.0004
Be  0.7501  0.2500  0.5003

Summary:
E_tot (eV/atom): -2.840
Total magnetic moment (μB/cell): 0.0
ΔH_f (0 K) (eV/atom): -0.068
Symmetry: I-4m2

***

[5]
VASP calculation (PBEsol) on BeZn2Au after structural relaxation.

Unit cell a=3.6881 b=3.6904 c=4.6660 alpha=113.29 beta=113.28 gamma=90.00
Fractional coordinates of all 4 atoms:
Au  0.5000  0.0000  0.0000
Be  0.0000  0.5000  0.0000
Zn  0.7499  0.7499  0.4997
Zn  0.2501  0.2501  0.5003

Summary:
E_tot (eV/atom): -2.832
Total magnetic moment (μB/cell): 0.0
ΔH_f (0 K) (eV/atom): -0.060
Symmetry: I4/mmm

***

[6]
VASP calculation (PBEsol) on BeZnAu2 after structural relaxation.

Unit cell a=2.9545 b=4.3687 c=4.8078 alpha=106.97 beta=107.89 gamma=90.00
Fractional coordinates of all 4 atoms:
Zn  0.2314  0.7739  0.4628
Be  0.5013  0.4491  0.0025
Au  0.9921  0.9629  0.9842
Au  0.7753  0.3141  0.5505

Summary:
E_tot (eV/atom): -3.501
Total magnetic moment (μB/cell): 0.0
ΔE to the lowest computed polymorph (meV/atom): 2
ΔH_f (0 K) (eV/atom): -0.143
Symmetry: Cm

***

[7]
VASP calculation (PBEsol) on BeZn2Au after structural relaxation.

Unit cell a=3.0128 b=3.2488 c=5.4509 alpha=90.00 beta=90.01 gamma=90.00
Fractional coordinates of all 4 atoms:
Au  0.0003  0.0000  0.5268
Zn  0.4999  0.5000  0.2374
Zn  0.9995  0.0000  0.9948
Be  0.5002  0.5000  0.7410

Summary:
E_tot (eV/atom): -2.825
Total magnetic moment (μB/cell): 0.0
ΔH_f (0 K) (eV/atom): -0.053
Symmetry: Pmm2

***

[8]
VASP calculation (PBEsol) on Be2ZnAu after structural relaxation.

Unit cell a=2.9305 b=4.0342 c=4.5122 alpha=109.30 beta=108.95 gamma=90.00
Fractional coordinates of all 4 atoms:
Au  0.2629  0.7982  0.5258
Be  0.7379  0.2648  0.4757
Be  0.0075  0.9777  0.0151
Zn  0.4917  0.4592  0.9834

Summary:
E_tot (eV/atom): -3.401
Total magnetic moment (μB/cell): 0.0
ΔH_f (0 K) (eV/atom): -0.024
Symmetry: Cm

***

[9]
VASP calculation (PBEsol) on Be2ZnAu2 after structural relaxation.

Unit cell a=2.8605 b=6.8432 c=6.8432 alpha=90.00 beta=90.00 gamma=90.00
Fractional coordinates of all 10 atoms:
Zn  0.0000  0.5000  0.5000
Zn  0.0000  0.0000  0.0000
Be  0.5000  0.8567  0.3567
Be  0.5000  0.3567  0.1433
Be  0.5000  0.1433  0.6433
Be  0.5000  0.6433  0.8567
Au  0.0000  0.1525  0.3475
Au  0.0000  0.6525  0.1525
Au  0.0000  0.8475  0.6525
Au  0.0000  0.3475  0.8475

Summary:
E_tot (eV/atom): -3.613
Total magnetic moment (μB/cell): 0.0
ΔE to the lowest computed polymorph (meV/atom): 36
ΔH_f (0 K) (eV/atom): -0.127
Symmetry: P4/mbm

***

[10]
VASP calculation (PBEsol) on BeZnAu2 after structural relaxation.

Unit cell a=4.2937 b=4.2971 c=4.2997 alpha=119.98 beta=119.95 gamma=90.00
Fractional coordinates of all 4 atoms:
Au  0.2498  0.2498  0.4996
Au  0.7502  0.7502  0.5004
Be  0.5000  0.0000  0.0000
Zn  0.0000  0.5000  0.0000

Summary:
E_tot (eV/atom): -3.503
Total magnetic moment (μB/cell): 0.0
ΔE to the lowest computed polymorph (meV/atom): 0
ΔH_f (0 K) (eV/atom): -0.145
Symmetry: I4/mmm

***

[11]
VASP calculation (PBEsol) on BeZnAu2 after structural relaxation.

Unit cell a=2.8576 b=2.8576 c=8.3058 alpha=80.09 beta=80.09 gamma=60.00
Fractional coordinates of all 4 atoms:
Au  0.7590  0.7590  0.7231
Au  0.2410  0.2410  0.2769
Be  0.5000  0.5000  0.5000
Zn  0.0000  0.0000  0.0000

Summary:
E_tot (eV/atom): -3.432
Total magnetic moment (μB/cell): 0.0
ΔE to the lowest computed polymorph (meV/atom): 71
ΔH_f (0 K) (eV/atom): -0.074
Symmetry: R-3m

***

[12]
VASP calculation (PBEsol) on BeZnAu2 after structural relaxation.

Unit cell a=3.0835 b=4.2685 c=4.2685 alpha=89.97 beta=90.00 gamma=90.00
Fractional coordinates of all 4 atoms:
Be  0.5000  0.0000  0.0000
Zn  0.5000  0.5000  0.5000
Au  0.0000  0.5000  0.0000
Au  0.0000  0.0000  0.5000

Summary:
E_tot (eV/atom): -3.501
Total magnetic moment (μB/cell): 0.0
ΔE to the lowest computed polymorph (meV/atom): 1
ΔH_f (0 K) (eV/atom): -0.144
Symmetry: P4/mmm